No. 1
A relaxed structure of GeSbTePd, computed with GGA-PBE.

```
GeSbTePd
1.0
4.014 0.000 0.000
0.000 5.628 0.000
0.000 0.000 4.128
Ge Sb Te Pd
1 1 1 1
direct
0.000 0.000 0.000 Ge
0.000 0.500 0.908 Sb
0.500 0.000 0.450 Te
0.500 0.500 0.430 Pd
```

E_form (uncorrected)   -0.1014 eV per atom
Total magnetization   0.00 μB/atom
Symmetry   Pmm2, No. 25
Total DFT energy (no corrections)   -4.370 eV per atom
Relative energy among the computed polymorphs   45.9 meV/atom



No. 2
A relaxed structure of SiH2Ru2, computed with GGA-PBE.

```
SiH2Ru2
1.0
5.593 0.000 0.000
0.000 5.593 0.000
0.000 0.000 2.985
Si H Ru
2 4 4
direct
0.000 0.000 0.000 Si
0.500 0.500 0.000 Si
0.177 0.323 0.000 H
0.323 0.823 0.000 H
0.677 0.177 0.000 H
0.823 0.677 0.000 H
0.196 0.696 0.500 Ru
0.304 0.196 0.500 Ru
0.696 0.804 0.500 Ru
0.804 0.304 0.500 Ru
```

Total magnetization   0.00 μB/atom
Symmetry   P4/mbm, No. 127
Total DFT energy (no corrections)   -6.053 eV per atom
Relative energy among the computed polymorphs   257.5 meV/atom



No. 3
A relaxed structure of LiTlSnHg, computed with GGA-PBE.

```
LiTlSnHg
1.0
3.234 0.000 0.000
0.000 3.234 0.000
0.000 0.000 9.387
Li Tl Sn Hg
1 1 1 1
direct
0.000 0.000 0.000 Li
0.000 0.000 0.519 Tl
0.500 0.500 0.221 Sn
0.500 0.500 0.815 Hg
```

Total magnetization   0.00 μB/atom
Symmetry   P4mm, No. 99
Total DFT energy (no corrections)   -2.289 eV per atom
Energy of formation from the pure elements   -14 kJ per mole of atoms
Relative energy among the computed polymorphs   0.0 meV/atom



Copy entry 2 word for word.
A relaxed structure of SiH2Ru2, computed with GGA-PBE.

```
SiH2Ru2
1.0
5.593 0.000 0.000
0.000 5.593 0.000
0.000 0.000 2.985
Si H Ru
2 4 4
direct
0.000 0.000 0.000 Si
0.500 0.500 0.000 Si
0.177 0.323 0.000 H
0.323 0.823 0.000 H
0.677 0.177 0.000 H
0.823 0.677 0.000 H
0.196 0.696 0.500 Ru
0.304 0.196 0.500 Ru
0.696 0.804 0.500 Ru
0.804 0.304 0.500 Ru
```

Total magnetization   0.00 μB/atom
Symmetry   P4/mbm, No. 127
Total DFT energy (no corrections)   -6.053 eV per atom
Relative energy among the computed polymorphs   257.5 meV/atom



Question: Which formula does entry 2 have?
Answer: SiH2Ru2